Model w:
Density functional theory data (PBE) for a relaxed structure of Er2CdRh3.

Cell and atoms, written as POSCAR:
```
Er2CdRh3
1.0
4.7061 0.0000 0.0000
-2.3531 4.0756 0.0000
0.0000 0.0000 11.5475
Er Cd Rh
4 2 6
direct
0.0000 0.0000 0.0000
0.0000 0.0000 0.5000
0.3333 0.6667 0.1796
0.6667 0.3333 0.8204
0.3333 0.6667 0.6659
0.6667 0.3333 0.3341
0.0000 0.0000 0.2480
0.0000 0.0000 0.7520
0.3333 0.6667 0.4204
0.3333 0.6667 0.9177
0.6667 0.3333 0.0823
0.6667 0.3333 0.5796
```

Computed properties:
V in Å³ per atom: 18.457
DOS at the Fermi energy in states/eV per atom: 0.2629



Model x:
Density functional theory data (PBE) for a relaxed structure of Er2CdRh3.

Cell and atoms, written as POSCAR:
```
Er2CdRh3
1.0
3.3708 0.0000 0.0000
0.0000 3.3708 0.0000
0.0000 0.0000 9.7941
Er Cd Rh
2 1 3
direct
0.0000 0.0000 0.1757
0.0000 0.0000 0.8243
0.0000 0.0000 0.5000
0.5000 0.5000 0.0000
0.5000 0.5000 0.3373
0.5000 0.5000 0.6627
```

Computed properties:
V in Å³ per atom: 18.547
DOS at the Fermi energy in states/eV per atom: 0.3731



Of them, the most stable is model w and the least stable is model x.



Model w:
Density functional theory data (PBE) for a relaxed structure of ErScCdRh.

Cell and atoms, written as POSCAR:
```
ErScCdRh
1.0
0.0000 3.4619 3.4619
3.4619 0.0000 3.4619
3.4619 3.4619 0.0000
Er Sc Cd Rh
1 1 1 1
direct
0.0000 0.0000 0.0000
0.5000 0.5000 0.5000
0.7500 0.7500 0.7500
0.2500 0.2500 0.2500
```

Computed properties:
V in Å³ per atom: 20.744
DOS at the Fermi energy in states/eV per atom: 0.5718



Model x:
Density functional theory data (PBE) for a relaxed structure of ErScCdRh.

Cell and atoms, written as POSCAR:
```
ErScCdRh
1.0
3.3905 0.0000 0.0000
0.0000 3.3905 0.0000
0.0000 0.0000 7.3221
Er Sc Cd Rh
1 1 1 1
direct
0.0000 0.0000 0.0000
0.0000 0.0000 0.5659
0.5000 0.5000 0.3017
0.5000 0.5000 0.7658
```

Computed properties:
V in Å³ per atom: 21.043
DOS at the Fermi energy in states/eV per atom: 0.6216



Of them, the most stable is model x and the least stable is model w.



Model w:
Density functional theory data (PBE) for a relaxed structure of TbErCdRh.

Cell and atoms, written as POSCAR:
```
TbErCdRh
1.0
0.0000 3.5655 3.5655
3.5655 0.0000 3.5655
3.5655 3.5655 0.0000
Tb Er Cd Rh
1 1 1 1
direct
0.0000 0.0000 0.0000
0.5000 0.5000 0.5000
0.7500 0.7500 0.7500
0.2500 0.2500 0.2500
```

Computed properties:
V in Å³ per atom: 22.663
DOS at the Fermi energy in states/eV per atom: 0.5988



Model x:
Density functional theory data (PBE) for a relaxed structure of TbErCdRh.

Cell and atoms, written as POSCAR:
```
TbErCdRh
1.0
3.4993 0.0000 0.0000
0.0000 3.4993 0.0000
0.0000 0.0000 7.5400
Tb Er Cd Rh
1 1 1 1
direct
0.0000 0.0000 0.0000
0.0000 0.0000 0.5659
0.5000 0.5000 0.2878
0.5000 0.5000 0.7774
```

Computed properties:
V in Å³ per atom: 23.082
DOS at the Fermi energy in states/eV per atom: 0.5210



Of them, the most stable is model x and the least stable is model w.



Model w:
Density functional theory data (PBE) for a relaxed structure of Er6CdRu.

Cell and atoms, written as POSCAR:
```
Er6CdRu
1.0
3.5683 -5.5716 0.0000
3.5683 5.5716 0.0000
-2.4531 0.0000 5.9937
Er Cd Ru
6 1 1
direct
0.0150 0.3974 0.2429
0.2290 0.2290 0.7678
0.3974 0.0150 0.2429
0.6026 0.9850 0.7571
0.7710 0.7710 0.2322
0.9850 0.6026 0.7571
0.5000 0.5000 0.5000
0.0000 0.0000 0.0000
```

Computed properties:
V in Å³ per atom: 29.790
DOS at the Fermi energy in states/eV per atom: 1.2653



Model x:
Density functional theory data (PBE) for a relaxed structure of Er6CdRu.

Cell and atoms, written as POSCAR:
```
Er6CdRu
1.0
-2.5091 2.5091 8.4638
2.5091 -2.5091 8.4638
2.5091 2.5091 -8.4638
Er Cd Ru
6 1 1
direct
0.1013 0.6013 0.5000
0.2501 0.2501 0.0000
0.3987 0.8987 0.5000
0.6013 0.1013 0.5000
0.7499 0.7499 0.0000
0.8987 0.3987 0.5000
0.0000 0.0000 0.0000
0.5000 0.5000 0.0000
```

Computed properties:
V in Å³ per atom: 26.642
DOS at the Fermi energy in states/eV per atom: 1.2790



Of them, the most stable is model x and the least stable is model w.



Model w:
Density functional theory data (PBE) for a relaxed structure of Er6Cd2Ru.

Cell and atoms, written as POSCAR:
```
Er6Cd2Ru
1.0
8.5300 0.0000 0.0000
-4.2650 7.3872 0.0000
0.0000 0.0000 3.7847
Er Cd Ru
6 2 1
direct
0.0000 0.2426 0.0000
0.0000 0.6097 0.5000
0.2426 0.0000 0.0000
0.3903 0.3903 0.5000
0.6097 0.0000 0.5000
0.7574 0.7574 0.0000
0.3333 0.6667 0.0000
0.6667 0.3333 0.0000
0.0000 0.0000 0.5000
```

Computed properties:
V in Å³ per atom: 26.499
DOS at the Fermi energy in states/eV per atom: 1.2911



Model x:
Density functional theory data (PBE) for a relaxed structure of Er6Cd2Ru.

Cell and atoms, written as POSCAR:
```
Er6Cd2Ru
1.0
6.7283 0.0000 0.0000
0.0000 7.3179 0.0000
-6.3692 0.0000 10.3455
Er Cd Ru
12 4 2
direct
0.1518 0.1850 0.4619
0.1518 0.3150 0.9619
0.2912 0.6968 0.4637
0.2912 0.8032 0.9637
0.3449 0.0031 0.2499
0.3449 0.4969 0.7499
0.6551 0.5031 0.2501
0.6551 0.9969 0.7501
0.7088 0.1968 0.0363
0.7088 0.3032 0.5363
0.8482 0.6850 0.0381
0.8482 0.8150 0.5381
0.1936 0.0895 0.7482
0.1936 0.4105 0.2482
0.8064 0.5895 0.7518
0.8064 0.9105 0.2518
0.0000 0.0000 0.0000
0.0000 0.5000 0.5000
```

Computed properties:
V in Å³ per atom: 28.299
DOS at the Fermi energy in states/eV per atom: 0.9879



Of them, the most stable is model w and the least stable is model x.



Model w:
Density functional theory data (PBE) for a relaxed structure of Er2CdRu.

Cell and atoms, written as POSCAR:
```
Er2CdRu
1.0
3.4306 0.0000 0.0000
0.0000 3.4306 0.0000
0.0000 0.0000 7.6282
Er Cd Ru
2 1 1
direct
0.0000 0.0000 0.2147
0.0000 0.0000 0.7853
0.5000 0.5000 0.5000
0.5000 0.5000 0.0000
```

Computed properties:
V in Å³ per atom: 22.445
DOS at the Fermi energy in states/eV per atom: 0.7524



Model x:
Density functional theory data (PBE) for a relaxed structure of Er2CdRu.

Cell and atoms, written as POSCAR:
```
Er2CdRu
1.0
1.8097 1.0449 8.6308
-1.8097 1.0449 8.6308
0.0000 -2.0897 8.6308
Er Cd Ru
2 1 1
direct
0.2359 0.2359 0.2359
0.7641 0.7641 0.7641
0.0000 0.0000 0.0000
0.5000 0.5000 0.5000
```

Computed properties:
V in Å³ per atom: 24.480
DOS at the Fermi energy in states/eV per atom: 1.0246



Model y:
Density functional theory data (PBE) for a relaxed structure of Er2CdRu.

Cell and atoms, written as POSCAR:
```
Er2CdRu
1.0
0.0000 3.5266 3.5266
3.5266 0.0000 3.5266
3.5266 3.5266 0.0000
Er Cd Ru
2 1 1
direct
0.2500 0.2500 0.2500
0.7500 0.7500 0.7500
0.0000 0.0000 0.0000
0.5000 0.5000 0.5000
```

Computed properties:
V in Å³ per atom: 21.930
DOS at the Fermi energy in states/eV per atom: 0.9954



Of them, the most stable is model w and the least stable is model x.



Model w:
Density functional theory data (PBE) for a relaxed structure of SmErCdRu.

Cell and atoms, written as POSCAR:
```
SmErCdRu
1.0
3.4817 0.0000 0.0000
0.0000 3.4817 0.0000
0.0000 0.0000 7.7349
Sm Er Cd Ru
1 1 1 1
direct
0.0000 0.0000 0.0000
0.0000 0.0000 0.5692
0.5000 0.5000 0.2963
0.5000 0.5000 0.7749
```

Computed properties:
V in Å³ per atom: 23.441
DOS at the Fermi energy in states/eV per atom: 0.8759



Model x:
Density functional theory data (PBE) for a relaxed structure of SmErCdRu.

Cell and atoms, written as POSCAR:
```
SmErCdRu
1.0
0.0000 3.5800 3.5800
3.5800 0.0000 3.5800
3.5800 3.5800 0.0000
Sm Er Cd Ru
1 1 1 1
direct
0.0000 0.0000 0.0000
0.5000 0.5000 0.5000
0.2500 0.2500 0.2500
0.7500 0.7500 0.7500
```

Computed properties:
V in Å³ per atom: 22.942
DOS at the Fermi energy in states/eV per atom: 0.8492



Of them, the most stable is model w and the least stable is model x.



Model w:
Density functional theory data (PBE) for a relaxed structure of ErTmCdRu.

Cell and atoms, written as POSCAR:
```
ErTmCdRu
1.0
3.4229 0.0000 0.0000
0.0000 3.4229 0.0000
0.0000 0.0000 7.6117
Er Tm Cd Ru
1 1 1 1
direct
0.0000 0.0000 0.0000
0.0000 0.0000 0.5707
0.5000 0.5000 0.2871
0.5000 0.5000 0.7838
```

Computed properties:
V in Å³ per atom: 22.295
DOS at the Fermi energy in states/eV per atom: 0.7316



Model x:
Density functional theory data (PBE) for a relaxed structure of ErTmCdRu.

Cell and atoms, written as POSCAR:
```
ErTmCdRu
1.0
0.0000 3.5186 3.5186
3.5186 0.0000 3.5186
3.5186 3.5186 0.0000
Er Tm Cd Ru
1 1 1 1
direct
0.0000 0.0000 0.0000
0.5000 0.5000 0.5000
0.2500 0.2500 0.2500
0.7500 0.7500 0.7500
```

Computed properties:
V in Å³ per atom: 21.781
DOS at the Fermi energy in states/eV per atom: 1.0176



Of them, the most stable is model w and the least stable is model x.



Model w:
Density functional theory data (PBE) for a relaxed structure of YErCdRu.

Cell and atoms, written as POSCAR:
```
YErCdRu
1.0
0.0000 3.5473 3.5473
3.5473 0.0000 3.5473
3.5473 3.5473 0.0000
Y Er Cd Ru
1 1 1 1
direct
0.0000 0.0000 0.0000
0.5000 0.5000 0.5000
0.2500 0.2500 0.2500
0.7500 0.7500 0.7500
```

Computed properties:
V in Å³ per atom: 22.319
DOS at the Fermi energy in states/eV per atom: 1.0059



Model x:
Density functional theory data (PBE) for a relaxed structure of YErCdRu.

Cell and atoms, written as POSCAR:
```
YErCdRu
1.0
3.4581 0.0000 0.0000
0.0000 3.4581 0.0000
0.0000 0.0000 7.6261
Y Er Cd Ru
1 1 1 1
direct
0.0000 0.0000 0.0000
0.0000 0.0000 0.5681
0.5000 0.5000 0.2875
0.5000 0.5000 0.7783
```

Computed properties:
V in Å³ per atom: 22.800
DOS at the Fermi energy in states/eV per atom: 0.8158



Of them, the most stable is model x and the least stable is model w.



Model w:
Density functional theory data (PBE) for a relaxed structure of Er2ScCd.

Cell and atoms, written as POSCAR:
```
Er2ScCd
1.0
3.5225 0.0000 0.0000
0.0000 3.5225 0.0000
0.0000 0.0000 8.6213
Er Sc Cd
2 1 1
direct
0.0000 0.0000 0.2420
0.0000 0.0000 0.7580
0.5000 0.5000 0.5000
0.5000 0.5000 0.0000
```

Computed properties:
V in Å³ per atom: 26.744
DOS at the Fermi energy in states/eV per atom: 1.2881



Model x:
Density functional theory data (PBE) for a relaxed structure of Er2ScCd.

Cell and atoms, written as POSCAR:
```
Er2ScCd
1.0
4.7367 0.0000 0.0000
0.0000 4.7367 0.0000
0.0000 0.0000 4.6588
Er Sc Cd
2 1 1
direct
0.0000 0.5000 0.0000
0.5000 0.0000 0.0000
0.0000 0.0000 0.5000
0.5000 0.5000 0.5000
```

Computed properties:
V in Å³ per atom: 26.131
DOS at the Fermi energy in states/eV per atom: 1.3125



Model y:
Density functional theory data (PBE) for a relaxed structure of Er2ScCd.

Cell and atoms, written as POSCAR:
```
Er2ScCd
1.0
1.7461 1.0081 10.4193
-1.7461 1.0081 10.4193
0.0000 -2.0162 10.4193
Er Sc Cd
2 1 1
direct
0.0000 0.0000 0.0000
0.1705 0.1705 0.1705
0.4185 0.4185 0.4185
0.5852 0.5852 0.5852
```

Computed properties:
V in Å³ per atom: 27.510
DOS at the Fermi energy in states/eV per atom: 1.6433



Of them, the most stable is model w and the least stable is model y.



Model w:
Density functional theory data (PBE) for a relaxed structure of Er5Sc4Cd2.

Cell and atoms, written as POSCAR:
```
Er5Sc4Cd2
1.0
-1.7152 4.3700 10.4312
1.7152 -4.3700 10.4312
1.7152 4.3700 -10.4312
Er Sc Cd
5 4 2
direct
0.0000 0.0000 0.0000
0.0563 0.3497 0.7066
0.3568 0.6503 0.7066
0.6432 0.3497 0.2934
0.9437 0.6503 0.2934
0.3165 0.5000 0.8165
0.4057 0.9057 0.5000
0.5943 0.0943 0.5000
0.6835 0.5000 0.1835
0.2712 0.7712 0.5000
0.7288 0.2288 0.5000
```

Computed properties:
V in Å³ per atom: 28.431
DOS at the Fermi energy in states/eV per atom: 1.2882



Model x:
Density functional theory data (PBE) for a relaxed structure of Er5Sc4Cd2.

Cell and atoms, written as POSCAR:
```
Er5Sc4Cd2
1.0
8.5152 0.0000 0.0000
0.0000 19.9615 0.0000
0.0000 0.0000 3.4730
Er Sc Cd
10 8 4
direct
0.0000 0.0000 0.0000
0.1260 0.4345 0.0000
0.2378 0.2162 0.0000
0.2622 0.7162 0.0000
0.3740 0.9345 0.0000
0.5000 0.5000 0.0000
0.6260 0.0655 0.0000
0.7378 0.2838 0.0000
0.7622 0.7838 0.0000
0.8740 0.5655 0.0000
0.0725 0.8535 0.5000
0.2178 0.5740 0.5000
0.2822 0.0740 0.5000
0.4275 0.3535 0.5000
0.5725 0.6465 0.5000
0.7178 0.9260 0.5000
0.7822 0.4260 0.5000
0.9275 0.1465 0.5000
0.0355 0.3096 0.5000
0.4645 0.8096 0.5000
0.5355 0.1904 0.5000
0.9645 0.6904 0.5000
```

Computed properties:
V in Å³ per atom: 26.833
DOS at the Fermi energy in states/eV per atom: 1.4797



Of them, the most stable is model x and the least stable is model w.



Model w:
Density functional theory data (PBE) for a relaxed structure of ErScCd3.

Cell and atoms, written as POSCAR:
```
ErScCd3
1.0
-2.7805 2.7805 10.8832
2.7805 -2.7805 10.8832
2.7805 2.7805 -10.8832
Er Sc Cd
2 2 6
direct
0.0000 0.0000 0.0000
0.7500 0.2500 0.5000
0.4228 0.4228 0.0000
0.5772 0.5772 0.0000
0.0428 0.5428 0.5000
0.3744 0.1258 0.2486
0.4572 0.9572 0.5000
0.8742 0.1228 0.2486
0.8742 0.6256 0.7514
0.8772 0.1258 0.7514
```

Computed properties:
V in Å³ per atom: 33.656
DOS at the Fermi energy in states/eV per atom: 1.2356



Model x:
Density functional theory data (PBE) for a relaxed structure of ErScCd3.

Cell and atoms, written as POSCAR:
```
ErScCd3
1.0
7.4883 -2.5000 0.0000
7.4883 2.5000 0.0000
-0.8406 0.0000 6.2894
Er Sc Cd
2 2 6
direct
0.1103 0.1103 0.4343
0.8897 0.8897 0.5657
0.3018 0.3018 0.8703
0.6982 0.6982 0.1297
0.0959 0.0959 0.9226
0.3043 0.3043 0.3431
0.4979 0.4979 0.7478
0.5021 0.5021 0.2522
0.6957 0.6957 0.6569
0.9041 0.9041 0.0774
```

Computed properties:
V in Å³ per atom: 23.548
DOS at the Fermi energy in states/eV per atom: 0.7108



Of them, the most stable is model x and the least stable is model w.